Below is a crystal of HgP2Rh relaxed with PBEsol, with properties calculated at the meta-GGA SCAN level.

Properties
Crystal system = orthorhombic
Space group = Immm (71)
Energy of formation from the pure elements = 0.20 eV/atom

Cell: 2.7865 4.7579 10.1187 Å, 90.00 90.00 90.00°
Fractional positions:
1 Hg 0.0000 0.0000 0.0000
2 Hg 0.5000 0.5000 0.5000
3 P 0.0000 0.5000 0.1952
4 P 0.0000 0.5000 0.8048
5 P 0.5000 0.0000 0.3048
6 P 0.5000 0.0000 0.6952
7 Rh 0.0000 0.0000 0.5000
8 Rh 0.5000 0.5000 0.0000



Below is a crystal of HgPRh relaxed with PBEsol, with properties calculated at the meta-GGA SCAN level.

Properties
Crystal system = tetragonal
Space group = I4mm (107)
Energy of formation from the pure elements = -0.14 eV/atom

Cell: 2.8849 2.8849 12.0223 Å, 90.00 90.00 90.00°
Fractional positions:
1 Hg 0.0000 0.0000 0.0000
2 Hg 0.5000 0.5000 0.5000
3 P 0.0000 0.0000 0.7134
4 P 0.5000 0.5000 0.2134
5 Rh 0.0000 0.0000 0.3173
6 Rh 0.5000 0.5000 0.8173



> energy of formation from the pure elements of number 1 (HgP2Rh)?

0.20 eV/atom